Density functional theory data (PBEsol) for an optimized crystal structure of ZnCu2Rh.

Cell: 2.975 2.975 5.559 Å, 90.00 90.00 90.00°
Positions (direct):
Cu 0.000 0.000 0.007
Cu 0.500 0.500 0.237
Rh 0.000 0.000 0.499
Zn 0.500 0.500 0.757

Calculated values
formation energy from the elements: -0.11 eV/atom
total magnetization: 0.00 μB/cell
theoretical density: 9.97 g/cm3
E_tot: -0.346 Ry per atom
V: 12.30 Å³/atom


Density functional theory data (PBEsol) for an optimized crystal structure of NdLuSe3.

Cell: 3.969 6.741 9.818 Å, 90.00 90.00 107.12°
Positions (direct):
Lu 0.000 0.000 0.000
Lu 0.000 0.000 0.500
Nd 0.252 0.503 0.250
Nd 0.748 0.497 0.750
Se 0.915 0.830 0.250
Se 0.356 0.711 0.561
Se 0.644 0.289 0.439
Se 0.644 0.289 0.061
Se 0.085 0.170 0.750
Se 0.356 0.711 0.939

Calculated values
total magnetization: 0.00 μB/cell
theoretical density: 7.36 g/cm3
E_tot: -0.456 Ry per atom
V: 25.10 Å³/atom


Density functional theory data (PBEsol) for an optimized crystal structure of LiAu2.

Cell: 2.788 4.413 4.413 Å, 120.00 90.00 90.00°
Positions (direct):
Au 0.725 0.333 0.667
Au 0.275 0.667 0.333
Li 0.000 0.000 0.000

Calculated values
formation energy from the elements: -0.37 eV/atom
total magnetization: 0.00 μB/cell
theoretical density: 14.16 g/cm3
E_tot: -0.267 Ry per atom
V: 15.67 Å³/atom


Density functional theory data (PBEsol) for an optimized crystal structure of Y2AsW.

Cell: 4.173 4.173 5.654 Å, 111.65 111.65 90.00°
Last column: magnetic moment on the atom in μB.
Positions (direct):
As 0.500 0.500 0.000  0.01
Y 0.750 0.250 0.500  0.05
Y 0.000 0.000 0.000  0.06
W 0.250 0.750 0.500  0.43

Calculated values
formation energy from the elements: 0.10 eV/atom
total magnetization: 0.70 μB/cell
theoretical density: 8.63 g/cm3
E_tot: -0.591 Ry per atom
V: 21.00 Å³/atom


Density functional theory data (PBEsol) for an optimized crystal structure of CaMnH2N.

Cell: 3.517 3.517 3.595 Å, 90.00 90.00 90.00°
Last column: magnetic moment on the atom in μB.
Positions (direct):
Ca 0.500 0.500 0.500  0.00
H 0.500 0.000 0.000  -0.01
H 0.000 0.500 0.000  -0.01
Mn 0.000 0.000 0.000  0.53
N 0.000 0.000 0.500  -0.04

Calculated values
total magnetization: 0.48 μB/cell
theoretical density: 4.15 g/cm3
E_tot: -0.442 Ry per atom
V: 8.90 Å³/atom


Density functional theory data (PBEsol) for an optimized crystal structure of Mg2CoPdCl.

Cell: 3.935 4.929 4.929 Å, 90.00 90.00 90.00°
Last column: magnetic moment on the atom in μB.
Positions (direct):
Co 0.000 0.000 0.000  0.34
Mg 0.000 0.000 0.500  -0.01
Mg 0.000 0.500 0.000  -0.01
Pd 0.500 0.500 0.500  -0.02
Cl 0.500 0.000 0.000  0.04

Calculated values
total magnetization: 0.30 μB/cell
theoretical density: 4.33 g/cm3
E_tot: -0.263 Ry per atom
V: 19.12 Å³/atom


Density functional theory data (PBEsol) for an optimized crystal structure of BeFeIr2.

Cell: 2.874 4.063 4.063 Å, 90.00 90.00 90.00°
Last column: magnetic moment on the atom in μB.
Positions (direct):
Ir 0.000 0.000 0.500  0.21
Ir 0.000 0.500 0.000  0.21
Fe 0.500 0.000 0.000  2.41
Be 0.500 0.500 0.500  0.00

Calculated values
formation energy from the elements: -0.22 eV/atom
total magnetization: 2.89 μB/cell
theoretical density: 15.73 g/cm3
E_tot: -0.615 Ry per atom
V: 11.86 Å³/atom


Density functional theory data (PBEsol) for an optimized crystal structure of In3PH.

Cell: 4.583 4.583 4.583 Å, 90.00 90.00 90.00°
Positions (direct):
H 0.000 0.000 0.000
In 0.000 0.000 0.500
In 0.500 0.000 0.000
In 0.000 0.500 0.000
P 0.500 0.500 0.500

Calculated values
total magnetization: 0.00 μB/cell
theoretical density: 6.49 g/cm3
E_tot: -0.240 Ry per atom
V: 19.25 Å³/atom


Density functional theory data (PBEsol) for an optimized crystal structure of Y2Ge2Os.

Cell: 4.272 6.702 6.702 Å, 90.00 90.00 90.00°
Positions (direct):
Os 0.000 0.500 0.500
Os 0.000 0.000 0.000
Y 0.500 0.824 0.324
Y 0.500 0.324 0.176
Y 0.500 0.176 0.676
Y 0.500 0.676 0.824
Ge 0.000 0.634 0.134
Ge 0.000 0.866 0.634
Ge 0.000 0.366 0.866
Ge 0.000 0.134 0.366

Calculated values
formation energy from the elements: -0.72 eV/atom
total magnetization: 0.00 μB/cell
theoretical density: 8.89 g/cm3
E_tot: -0.578 Ry per atom
V: 19.19 Å³/atom


Density functional theory data (PBEsol) for an optimized crystal structure of ZrGa2Pd.

Cell: 4.509 4.509 4.509 Å, 60.00 60.00 60.00°
Positions (direct):
Ga 0.750 0.750 0.750
Ga 0.250 0.250 0.250
Pd 0.500 0.500 0.500
Zr 0.000 0.000 0.000

Calculated values
formation energy from the elements: -0.52 eV/atom
total magnetization: 0.00 μB/cell
theoretical density: 8.64 g/cm3
E_tot: -0.438 Ry per atom
V: 16.20 Å³/atom


Density functional theory data (PBEsol) for an optimized crystal structure of ZrAgHg.

Cell: 2.933 4.746 4.746 Å, 120.00 90.00 90.00°
Positions (direct):
Ag 0.000 0.000 0.000
Zr 0.500 0.667 0.333
Hg 0.000 0.333 0.667

Calculated values
formation energy from the elements: -0.20 eV/atom
total magnetization: 0.00 μB/cell
theoretical density: 11.60 g/cm3
E_tot: -0.333 Ry per atom
V: 19.07 Å³/atom


Density functional theory data (PBEsol) for an optimized crystal structure of MgCuCl.

Cell: 3.324 3.324 5.444 Å, 90.00 90.00 120.00°
Positions (direct):
Cu 0.667 0.333 0.656
Mg 0.333 0.667 0.332
Cl 0.000 0.000 0.012

Calculated values
total magnetization: 0.00 μB/cell
theoretical density: 3.93 g/cm3
E_tot: -0.230 Ry per atom
V: 17.37 Å³/atom